Compound: AgH3Ir
Source: the Alexandria database
Functional: PBE
Structure: optimized geometry

abc: 3.5386 3.5386 3.5386
angles: 90.00 90.00 90.00
Last column: nearest neighbours and their distance in Å.
Element x y z (fractional)
Ag: 0.0000 0.0000 0.0000  12 H 2.50
H: 0.0000 0.5000 0.5000  2 Ir 1.77
H: 0.5000 0.0000 0.5000  2 Ir 1.77
H: 0.5000 0.5000 0.0000  2 Ir 1.77
Ir: 0.5000 0.5000 0.5000  6 H 1.77

Output
Final energy in eV per atom: -4.17
SG: Pm-3m, No. 221
ΔE to the lowest computed polymorph in meV per atom: 14.6